## Li5MoO4 (GGA+U)

Data for an optimized crystal structure of Li5MoO4.

Structure (POSCAR):
```
Li5MoO4
1.0
-0.908 -3.052 0.100
4.874 -1.493 -1.309
-1.925 2.452 6.593
O Li Mo
4 5 1
direct
0.342 0.984 0.683
0.658 0.016 0.317
0.073 0.351 0.147
0.927 0.649 0.853
0.173 0.799 0.345
0.814 0.745 0.628
0.500 0.500 0.000
0.186 0.255 0.372
0.827 0.201 0.655
0.500 0.000 0.000
```

The calculation puts the density at 3.32 Mg/m³. As for the space group: C2/m, No. 12. The value obtained for the density of states at the Fermi level is 0.0 states/eV/cell. The calculation puts the total energy at -5.39 eV/atom.